*w*
Li2Cd4Hg | GGA-PBE | optimized geometry

CIF file:
```
data_Li2Cd4Hg
_cell_length_a 7.117
_cell_length_b 7.117
_cell_length_c 6.098
_cell_angle_alpha 90.00
_cell_angle_beta 90.00
_cell_angle_gamma 90.00
_symmetry_space_group_name_H-M 'I 4/m m m'
_symmetry_Int_Tables_number 139
_symmetry_space_group_name_Hall '-I 4 2'
loop_
_atom_site_label
_atom_site_type_symbol
_atom_site_fract_x
_atom_site_fract_y
_atom_site_fract_z
Li1 Li 0.000 0.500 0.250
Cd1 Cd 0.207 0.207 0.000
Hg1 Hg 0.000 0.000 0.500
```

## Properties
magnetic moment	0.0	Bohr magnetons per cell
ρ	7.14	g/cm3


*x*
Li2Cd4Hg | GGA-PBE | optimized geometry

CIF file:
```
data_Li2Cd4Hg
_cell_length_a 5.142
_cell_length_b 11.682
_cell_length_c 5.105
_cell_angle_alpha 90.00
_cell_angle_beta 103.14
_cell_angle_gamma 90.00
_symmetry_space_group_name_H-M 'P 1 21/c 1'
_symmetry_Int_Tables_number 14
_symmetry_space_group_name_Hall '-P 2ybc'
loop_
_atom_site_label
_atom_site_type_symbol
_atom_site_fract_x
_atom_site_fract_y
_atom_site_fract_z
Li1 Li 0.061 0.058 0.270
Cd1 Cd 0.138 0.186 0.796
Cd2 Cd 0.397 0.654 0.011
Hg1 Hg 0.500 0.000 0.000
```

## Properties
magnetic moment	0.0	Bohr magnetons per cell
ρ	7.39	g/cm3


Pick *x*: it beats the second-best structure by 54 meV per atom.


*w*
Li2Cd5Hg12 | GGA-PBE | optimized geometry

CIF file:
```
data_Li2Cd5Hg12
_cell_length_a 21.416
_cell_length_b 8.591
_cell_length_c 5.008
_cell_angle_alpha 90.00
_cell_angle_beta 94.11
_cell_angle_gamma 90.00
_symmetry_space_group_name_H-M 'C 1 2/m 1'
_symmetry_Int_Tables_number 12
_symmetry_space_group_name_Hall '-C 2y'
loop_
_atom_site_label
_atom_site_type_symbol
_atom_site_fract_x
_atom_site_fract_y
_atom_site_fract_z
Li1 Li 0.000 0.221 0.000
Cd1 Cd 0.000 0.000 0.500
Cd2 Cd 0.195 0.000 0.671
Cd3 Cd 0.198 0.500 0.728
Hg1 Hg 0.074 0.500 0.094
Hg2 Hg 0.085 0.278 0.592
Hg3 Hg 0.098 0.000 0.077
Hg4 Hg 0.198 0.262 0.210
```

## Properties
magnetic moment	0.0	Bohr magnetons per cell
ρ	10.78	g/cm3


*x*
Li2Cd5Hg12 | GGA-PBE | optimized geometry

CIF file:
```
data_Li2Cd5Hg12
_cell_length_a 13.504
_cell_length_b 9.226
_cell_length_c 7.387
_cell_angle_alpha 90.00
_cell_angle_beta 90.96
_cell_angle_gamma 90.00
_symmetry_space_group_name_H-M 'C 1 2/m 1'
_symmetry_Int_Tables_number 12
_symmetry_space_group_name_Hall '-C 2y'
loop_
_atom_site_label
_atom_site_type_symbol
_atom_site_fract_x
_atom_site_fract_y
_atom_site_fract_z
Li1 Li 0.000 0.219 0.000
Cd1 Cd 0.000 0.500 0.500
Cd2 Cd 0.176 0.000 0.059
Cd3 Cd 0.245 0.500 0.465
Hg1 Hg 0.046 0.000 0.714
Hg2 Hg 0.105 0.500 0.090
Hg3 Hg 0.111 0.233 0.353
Hg4 Hg 0.167 0.287 0.781
```

## Properties
magnetic moment	0.0	Bohr magnetons per cell
ρ	10.77	g/cm3


Pick *w*: it beats the second-best structure by 9 meV per atom.


*w*
Li4Cd3Hg2 | GGA-PBE | optimized geometry

CIF file:
```
data_Li4Cd3Hg2
_cell_length_a 4.582
_cell_length_b 4.847
_cell_length_c 8.786
_cell_angle_alpha 84.13
_cell_angle_beta 89.99
_cell_angle_gamma 61.79
_symmetry_space_group_name_H-M 'P -1'
_symmetry_Int_Tables_number 2
_symmetry_space_group_name_Hall '-P 1'
loop_
_atom_site_label
_atom_site_type_symbol
_atom_site_fract_x
_atom_site_fract_y
_atom_site_fract_z
Li1 Li 0.004 0.490 0.329
Li2 Li 0.336 0.827 0.110
Cd1 Cd 0.000 0.500 0.000
Cd2 Cd 0.336 0.827 0.437
Hg1 Hg 0.326 0.849 0.788
```

## Properties
magnetic moment	0.0	Bohr magnetons per cell
ρ	7.45	g/cm3


*x*
Li4Cd3Hg2 | GGA-PBE | optimized geometry

CIF file:
```
data_Li4Cd3Hg2
_cell_length_a 13.752
_cell_length_b 4.858
_cell_length_c 5.369
_cell_angle_alpha 90.00
_cell_angle_beta 107.33
_cell_angle_gamma 90.00
_symmetry_space_group_name_H-M 'C 1 2/m 1'
_symmetry_Int_Tables_number 12
_symmetry_space_group_name_Hall '-C 2y'
loop_
_atom_site_label
_atom_site_type_symbol
_atom_site_fract_x
_atom_site_fract_y
_atom_site_fract_z
Li1 Li 0.049 0.000 0.264
Li2 Li 0.233 0.500 0.646
Cd1 Cd 0.000 0.500 0.500
Cd2 Cd 0.117 0.500 0.087
Hg1 Hg 0.156 0.000 0.786
```

## Properties
magnetic moment	0.0	Bohr magnetons per cell
ρ	7.43	g/cm3


Pick *w*: it beats the second-best structure by 11 meV per atom.


*w*
Li8Cd2Hg | GGA-PBE | optimized geometry

CIF file:
```
data_Li8Cd2Hg
_cell_length_a 14.918
_cell_length_b 4.441
_cell_length_c 6.167
_cell_angle_alpha 90.00
_cell_angle_beta 102.42
_cell_angle_gamma 90.00
_symmetry_space_group_name_H-M 'C 1 2/m 1'
_symmetry_Int_Tables_number 12
_symmetry_space_group_name_Hall '-C 2y'
loop_
_atom_site_label
_atom_site_type_symbol
_atom_site_fract_x
_atom_site_fract_y
_atom_site_fract_z
Li1 Li 0.040 0.000 0.238
Li2 Li 0.095 0.500 0.947
Li3 Li 0.142 0.000 0.675
Li4 Li 0.177 0.500 0.405
Cd1 Cd 0.219 0.000 0.142
Hg1 Hg 0.000 0.500 0.500
```

## Properties
magnetic moment	0.0	Bohr magnetons per cell
ρ	4.00	g/cm3


*x*
Li8Cd2Hg | GGA-PBE | optimized geometry

CIF file:
```
data_Li8Cd2Hg
_cell_length_a 9.594
_cell_length_b 5.836
_cell_length_c 8.262
_cell_angle_alpha 90.00
_cell_angle_beta 113.00
_cell_angle_gamma 90.00
_symmetry_space_group_name_H-M 'C 1 2/m 1'
_symmetry_Int_Tables_number 12
_symmetry_space_group_name_Hall '-C 2y'
loop_
_atom_site_label
_atom_site_type_symbol
_atom_site_fract_x
_atom_site_fract_y
_atom_site_fract_z
Li1 Li 0.047 0.240 0.290
Li2 Li 0.190 0.000 0.646
Li3 Li 0.195 0.000 0.029
Cd1 Cd 0.166 0.500 0.606
Hg1 Hg 0.000 0.500 0.000
```

## Properties
magnetic moment	0.0	Bohr magnetons per cell
ρ	3.75	g/cm3


Pick *w*: it beats the second-best structure by 51 meV per atom.